This record from Alexandria via LeMat-Bulk describes an optimized crystal structure of Pm4SmDy3S8. The functional is PBE.

abc: 7.9456 7.9456 19.6261
angles: 90.00 90.00 120.00
Space group R-3m (No. 166, hexagonal axes)
Symmetry-distinct sites (fractional):
1 Pm 0.0000 0.0000 0.0000
2 Pm 0.0000 0.5000 0.0000
3 Sm 0.0000 0.0000 0.5000
4 Dy 0.0000 0.5000 0.5000
5 S 0.0000 0.0000 0.2456
6 S 0.0048 0.5024 0.7533

Computed properties:
E_form (uncorrected) ... -2.01 eV per atom



This record from Alexandria via LeMat-Bulk describes an optimized crystal structure of Cd2NiMo. The functional is PBE.

abc: 2.779 4.936 10.091
angles: 90.00 90.00 90.00
Space group Imm2 (No. 44)
Symmetry-distinct sites (fractional):
1 Cd 0.000 0.000 0.000
2 Cd 0.000 0.500 0.217
3 Ni 0.000 0.500 0.739
4 Mo 0.000 0.000 0.445

Computed properties:
Formation enthalpy at 0 K ... 373 meV per atom
Distance to the lowest polymorph of the same formula ... 240 meV per atom